NbAl2CrW | PBE-GGA | optimized geometry

For the density of states at the Fermi level, the calculation gives 2.050 states/eV/atom. As for the calculated formation energy: 1.87 eV per atom.

The structure belongs to space group P4/mmm (No. 123); the cell edges are 4.813, 4.813 and 4.726 Å and the angles 90.00°, 90.00° and 90.00°. The distinct sites, in fractional coordinates, are Nb at (0.000, 0.000, 0.000), Al at (0.000, 0.500, 0.000), Cr at (0.500, 0.500, 0.500) and W at (0.000, 0.000, 0.500).

---

NdAl20Cr2 | PBE-GGA | optimized geometry

For the density of states at the Fermi level, the calculation gives 0.493 states/eV/atom. As for the calculated formation energy: 0.06 eV per atom.

The structure belongs to space group Fd-3m (No. 227, origin choice 2); the cell edges are 14.757, 14.757 and 14.757 Å and the angles 90.00°, 90.00° and 90.00°. The distinct sites, in fractional coordinates, are Nd at (0.125, 0.125, 0.125), Al at (0.000, 0.000, 0.500), Al at (0.011, 0.375, 0.875), Al at (0.060, 0.060, 0.323) and Cr at (0.000, 0.000, 0.000).

---

NdAl8Cr4 | PBE-GGA | optimized geometry

For the density of states at the Fermi level, the calculation gives 0.637 states/eV/atom. As for the calculated formation energy: -0.20 eV per atom.

The structure belongs to space group I4/mmm (No. 139); the cell edges are 9.003, 9.003 and 5.050 Å and the angles 90.00°, 90.00° and 90.00°. The distinct sites, in fractional coordinates, are Nd at (0.000, 0.000, 0.000), Al at (0.000, 0.226, 0.500), Al at (0.000, 0.341, 0.000) and Cr at (0.250, 0.250, 0.250).

---

Nd6Al43Cr4 | PBE-GGA | optimized geometry

For the density of states at the Fermi level, the calculation gives 0.448 states/eV/atom. As for the calculated formation energy: -0.26 eV per atom.

The structure belongs to space group P6_3/mcm (No. 193); the cell edges are 10.9955, 10.9955 and 17.8202 Å and the angles 90.00°, 90.00° and 120.00°. The distinct sites, in fractional coordinates, are Nd at (0.0000, 0.4712, 0.0950), Al at (0.0000, 0.1446, 0.7500), Al at (0.0000, 0.1549, 0.1160), Al at (0.0000, 0.2475, 0.5306), Al at (0.1442, 0.5461, 0.2500), Al at (0.1582, 0.3896, 0.6671), Al at (0.2464, 0.4927, 0.0000), Al at (0.3333, 0.6667, 0.1280), Cr at (0.0000, 0.0000, 0.0000) and Cr at (0.0000, 0.2648, 0.2500).